No. 1
VASP calculation (GGA-PBE) on crystalline Pm2ThBi at its relaxed geometry.

a b c (Å): 4.0473 4.0473 7.6501
angles (deg): 90.00 90.00 90.00
Closest atoms and distances in Å follow each position.
Sites, in units of the cell vectors:
Bi 0.5000 0.5000 0.5000  8 Pm 3.34
Th 0.5000 0.5000 0.0000  8 Pm 3.55, 2 Bi 3.83
Pm 0.0000 0.0000 0.7250  4 Bi 3.34, 1 Pm 3.44, 4 Th 3.55
Pm 0.0000 0.0000 0.2750  4 Bi 3.34, 1 Pm 3.44, 4 Th 3.55

Output
Energy above the lowest structure with this stoichiometry (meV/atom): 0
ΔH_f (0 K) (eV/atom): -0.375
SG: No. 123
E (eV/atom): -5.5751

No. 2
VASP calculation (GGA-PBE) on crystalline Pm4Th3Bi8 at its relaxed geometry.

a b c (Å): 9.1249 9.1536 9.1536
angles (deg): 89.86 120.08 120.08
Closest atoms and distances in Å follow each position.
Sites, in units of the cell vectors:
Pm 0.5000 0.0000 0.0000  6 Bi 3.22-3.25
Pm 0.0000 0.5000 0.0000  6 Bi 3.22-3.24
Pm 0.0000 0.0000 0.0000  6 Bi 3.32-3.33
Pm 0.0000 0.0000 0.5000  6 Bi 3.22-3.24
Th 0.5000 0.5000 0.0000  6 Bi 3.22-3.24
Th 0.5000 0.0000 0.5000  6 Bi 3.22-3.24
Th 0.5000 0.5000 0.5000  6 Bi 3.21-3.25
Bi 0.5162 0.2584 0.2584  3 Th 3.23-3.24, 2 Pm 3.25-3.33
Bi 0.0000 0.7432 0.2568  2 Th 3.22, 3 Pm 3.24-3.32
Bi 0.0013 0.2565 0.2565  1 Th 3.21, 4 Pm 3.23-3.32
Bi 0.5000 0.7511 0.2489  3 Pm 3.22, 3 Th 3.24-3.25
Bi 0.5000 0.2489 0.7511  3 Pm 3.22, 3 Th 3.24-3.25
Bi 0.9987 0.7435 0.7435  1 Th 3.21, 4 Pm 3.23-3.32
Bi 0.0000 0.2568 0.7432  2 Th 3.22, 3 Pm 3.24-3.32
Bi 0.4838 0.7416 0.7416  3 Th 3.23-3.24, 2 Pm 3.25-3.33

Output
ΔH_f (0 K) (eV/atom): -0.676
SG: No. 12
E (eV/atom): -5.4970

No. 3
VASP calculation (GGA-PBE) on crystalline PmTh2Bi at its relaxed geometry.

a b c (Å): 5.3442 4.7996 4.7996
angles (deg): 90.00 90.00 90.00
Closest atoms and distances in Å follow each position.
Sites, in units of the cell vectors:
Bi 0.5000 0.5000 0.5000  4 Pm 3.39, 8 Th 3.59
Th 0.0000 0.0000 0.5000  4 Th 3.39, 4 Pm 3.59, 4 Bi 3.59
Th 0.0000 0.5000 0.0000  4 Th 3.39, 4 Pm 3.59, 4 Bi 3.59
Pm 0.5000 0.0000 0.0000  4 Bi 3.39, 8 Th 3.59

Output
Energy above the lowest structure with this stoichiometry (meV/atom): 0
ΔH_f (0 K) (eV/atom): -0.308
SG: No. 123
E (eV/atom): -6.1754

No. 4
VASP calculation (GGA-PBE) on crystalline PmTh8Bi6 at its relaxed geometry.

a b c (Å): 9.3827 9.3827 8.6711
angles (deg): 57.25 57.25 60.00
Closest atoms and distances in Å follow each position.
Sites, in units of the cell vectors:
Pm 0.0000 0.0000 0.0000  6 Bi 3.28
Th 0.5416 0.2348 0.3263  5 Bi 3.24-3.47
Th 0.7652 0.1027 0.6737  5 Bi 3.24-3.47
Th 0.1027 0.4584 0.6737  5 Bi 3.24-3.47
Th 0.6664 0.6664 0.0009  6 Bi 3.38-3.45, 3 Th 3.75
Th 0.3336 0.3336 0.9991  6 Bi 3.38-3.45, 3 Th 3.75
Th 0.8973 0.5416 0.3263  5 Bi 3.24-3.47
Th 0.2348 0.8973 0.3263  5 Bi 3.24-3.47
Th 0.4584 0.7652 0.6737  5 Bi 3.24-3.47
Bi 0.3829 0.0663 0.8146  7 Th 3.24-3.47, 1 Pm 3.28
Bi 0.9337 0.2637 0.1854  7 Th 3.24-3.47, 1 Pm 3.28
Bi 0.2637 0.6171 0.1854  7 Th 3.24-3.47, 1 Pm 3.28
Bi 0.7363 0.3829 0.8146  7 Th 3.24-3.47, 1 Pm 3.28
Bi 0.0663 0.7363 0.8146  7 Th 3.24-3.47, 1 Pm 3.28
Bi 0.6171 0.9337 0.1854  7 Th 3.24-3.47, 1 Pm 3.28

Output
ΔH_f (0 K) (eV/atom): -0.224
SG: No. 148
E (eV/atom): -6.0504

No. 5
VASP calculation (GGA-PBE) on crystalline Pm5ThBi6 at its relaxed geometry.

a b c (Å): 7.9373 7.9380 7.9350
angles (deg): 59.99 80.40 70.53
Closest atoms and distances in Å follow each position.
Sites, in units of the cell vectors:
Pm 0.5000 0.1667 0.6665  6 Bi 3.24
Pm 0.0000 0.3334 0.3332  6 Bi 3.24
Pm 0.5000 0.5000 0.0000  6 Bi 3.24
Pm 0.0000 0.6666 0.6668  6 Bi 3.24
Pm 0.5000 0.8333 0.3335  6 Bi 3.24
Th 0.0000 0.0000 0.0000  6 Bi 3.24
Bi 0.7496 0.0835 0.3332  5 Pm 3.24, 1 Th 3.24
Bi 0.2504 0.5833 0.3332  5 Pm 3.24, 1 Th 3.24
Bi 0.2497 0.2500 0.0000  1 Th 3.24, 5 Pm 3.24
Bi 0.7503 0.7500 0.0000  1 Th 3.24, 5 Pm 3.24
Bi 0.7496 0.4167 0.6668  5 Pm 3.24, 1 Th 3.24
Bi 0.2504 0.9165 0.6668  5 Pm 3.24, 1 Th 3.24

Output
ΔH_f (0 K) (eV/atom): -0.894
SG: No. 12
E (eV/atom): -5.4323

No. 6
VASP calculation (GGA-PBE) on crystalline Pm3Th5Bi8 at its relaxed geometry.

a b c (Å): 9.1863 9.1863 9.1743
angles (deg): 59.96 59.96 60.00
Closest atoms and distances in Å follow each position.
Sites, in units of the cell vectors:
Pm 0.5000 0.0000 0.5000  6 Bi 3.24
Pm 0.0000 0.0000 0.5000  6 Bi 3.24
Pm 0.0000 0.5000 0.5000  6 Bi 3.24
Th 0.5000 0.0000 0.0000  6 Bi 3.25-3.26
Th 0.5000 0.5000 0.0000  6 Bi 3.25-3.26
Th 0.0000 0.0000 0.0000  6 Bi 3.25
Th 0.0000 0.5000 0.0000  6 Bi 3.25-3.26
Th 0.5000 0.5000 0.5000  6 Bi 3.25
Bi 0.2500 0.2500 0.7485  2 Pm 3.24, 4 Th 3.25-3.26
Bi 0.2500 0.7516 0.7485  2 Pm 3.24, 4 Th 3.25-3.26
Bi 0.7516 0.2500 0.7485  2 Pm 3.24, 4 Th 3.25-3.26
Bi 0.7505 0.7505 0.7484  3 Pm 3.24, 3 Th 3.25
Bi 0.7500 0.7500 0.2515  2 Pm 3.24, 4 Th 3.25-3.26
Bi 0.7500 0.2484 0.2515  2 Pm 3.24, 4 Th 3.25-3.26
Bi 0.2484 0.7500 0.2515  2 Pm 3.24, 4 Th 3.25-3.26
Bi 0.2495 0.2495 0.2516  3 Pm 3.24, 3 Th 3.25

Output
ΔH_f (0 K) (eV/atom): -0.710
SG: No. 166
E (eV/atom): -5.8599

No. 7
VASP calculation (GGA-PBE) on crystalline PmTh2Bi at its relaxed geometry.

a b c (Å): 5.6394 5.6394 5.6398
angles (deg): 60.00 60.00 60.00
Closest atoms and distances in Å follow each position.
Sites, in units of the cell vectors:
Bi 0.5000 0.5000 0.5000  8 Th 3.45-3.46
Th 0.7501 0.7501 0.7497  4 Pm 3.45, 4 Bi 3.45-3.46
Th 0.2499 0.2499 0.2503  4 Pm 3.45, 4 Bi 3.45-3.46
Pm 0.0000 0.0000 0.0000  8 Th 3.45

Output
Energy above the lowest structure with this stoichiometry (meV/atom): 296
ΔH_f (0 K) (eV/atom): -0.011
SG: No. 225
E (eV/atom): -5.8791

No. 8
VASP calculation (GGA-PBE) on crystalline PmTmTh2Bi5 at its relaxed geometry.

a b c (Å): 5.3678 5.3678 11.8460
angles (deg): 90.00 90.00 90.00
Closest atoms and distances in Å follow each position.
Sites, in units of the cell vectors:
Pm 0.0000 0.0000 0.0000  2 Bi 2.97
Tm 0.0000 0.0000 0.5000  6 Bi 2.68-2.95
Th 0.5000 0.5000 0.2969  9 Bi 3.52-3.83
Th 0.5000 0.5000 0.7031  9 Bi 3.52-3.83
Bi 0.0000 0.5000 0.5000  2 Tm 2.68
Bi 0.5000 0.0000 0.5000  2 Tm 2.68
Bi 0.0000 0.0000 0.7493  1 Tm 2.95, 1 Pm 2.97
Bi 0.0000 0.0000 0.2507  1 Tm 2.95, 1 Pm 2.97
Bi 0.5000 0.5000 0.0000  2 Th 3.52, 4 Pm 3.80

Output
ΔH_f (0 K) (eV/atom): -0.008
SG: No. 123
E (eV/atom): -4.8379

No. 9
VASP calculation (GGA-PBE) on crystalline Pm2TmTh3Bi6 at its relaxed geometry.

a b c (Å): 4.5689 9.1096 10.2072
angles (deg): 102.75 102.93 90.00
Closest atoms and distances in Å follow each position.
Sites, in units of the cell vectors:
Pm 0.8333 0.6663 0.6667  6 Bi 3.21-3.24
Pm 0.1667 0.3337 0.3333  6 Bi 3.21-3.24
Tm 0.5000 0.0000 0.0000  6 Bi 3.15-3.17
Th 0.5000 0.5000 0.0000  6 Bi 3.23-3.28
Th 0.8312 0.1661 0.6623  6 Bi 3.23-3.27
Th 0.1688 0.8339 0.3377  6 Bi 3.23-3.27
Bi 0.3374 0.9175 0.6749  1 Tm 3.15, 2 Pm 3.22, 3 Th 3.24-3.27
Bi 0.6669 0.5820 0.3338  3 Pm 3.21-3.23, 3 Th 3.23
Bi 0.6626 0.0825 0.3251  1 Tm 3.15, 2 Pm 3.22, 3 Th 3.24-3.27
Bi 0.9994 0.2413 0.9988  2 Tm 3.17, 1 Pm 3.24, 3 Th 3.26-3.28
Bi 0.0006 0.7587 0.0012  2 Tm 3.17, 1 Pm 3.24, 3 Th 3.26-3.28
Bi 0.3331 0.4180 0.6662  3 Pm 3.21-3.23, 3 Th 3.23

Output
ΔH_f (0 K) (eV/atom): -0.727
SG: No. 12
E (eV/atom): -5.6866

No. 10
VASP calculation (GGA-PBE) on crystalline PmTm2ThBi4 at its relaxed geometry.

a b c (Å): 4.5207 7.7874 7.8199
angles (deg): 70.48 90.00 90.00
Closest atoms and distances in Å follow each position.
Sites, in units of the cell vectors:
Pm 0.5000 0.5000 0.0000  6 Bi 3.23
Tm 0.0000 0.0000 0.0000  6 Bi 3.14
Tm 0.5000 0.0000 0.5000  6 Bi 3.14-3.15
Th 0.0000 0.5000 0.5000  6 Bi 3.23-3.24
Bi 0.0000 0.7607 0.7468  3 Tm 3.14-3.15, 1 Th 3.23, 2 Pm 3.23
Bi 0.0000 0.2393 0.2532  3 Tm 3.14-3.15, 1 Th 3.23, 2 Pm 3.23
Bi 0.5000 0.7617 0.2452  3 Tm 3.14, 1 Pm 3.23, 2 Th 3.24
Bi 0.5000 0.2383 0.7548  3 Tm 3.14, 1 Pm 3.23, 2 Th 3.24

Output
ΔH_f (0 K) (eV/atom): -0.775
SG: No. 10
E (eV/atom): -5.3551

No. 11
VASP calculation (GGA-PBE) on crystalline PmTmTh2Bi4 at its relaxed geometry.

a b c (Å): 4.5638 7.9022 7.8562
angles (deg): 109.66 90.00 90.00
Closest atoms and distances in Å follow each position.
Sites, in units of the cell vectors:
Pm 0.0000 0.0000 0.0000  6 Bi 3.21
Tm 0.5000 0.5000 0.0000  6 Bi 3.16-3.17
Th 0.5000 0.0000 0.5000  6 Bi 3.27
Th 0.0000 0.5000 0.5000  6 Bi 3.23
Bi 0.5000 0.2525 0.2442  1 Tm 3.17, 2 Pm 3.21, 3 Th 3.23-3.27
Bi 0.5000 0.7475 0.7558  1 Tm 3.17, 2 Pm 3.21, 3 Th 3.23-3.27
Bi 0.0000 0.2575 0.7593  2 Tm 3.16, 1 Pm 3.21, 3 Th 3.23-3.27
Bi 0.0000 0.7425 0.2407  2 Tm 3.16, 1 Pm 3.21, 3 Th 3.23-3.27

Output
ΔH_f (0 K) (eV/atom): -0.709
SG: No. 10
E (eV/atom): -5.6568

No. 12
VASP calculation (GGA-PBE) on crystalline Pm3TmTh2Bi6 at its relaxed geometry.

a b c (Å): 4.5696 9.1210 10.2097
angles (deg): 103.06 102.93 90.00
Closest atoms and distances in Å follow each position.
Sites, in units of the cell vectors:
Pm 0.5000 0.5000 0.0000  6 Bi 3.23-3.27
Pm 0.8322 0.1656 0.6644  6 Bi 3.22-3.27
Pm 0.1678 0.8344 0.3356  6 Bi 3.22-3.27
Tm 0.5000 0.0000 0.0000  6 Bi 3.17-3.18
Th 0.8355 0.6691 0.6709  6 Bi 3.22-3.26
Th 0.1645 0.3309 0.3291  6 Bi 3.22-3.26
Bi 0.3365 0.9199 0.6729  1 Tm 3.17, 3 Pm 3.22-3.27, 2 Th 3.23
Bi 0.6669 0.5843 0.3338  3 Pm 3.23, 3 Th 3.24-3.26
Bi 0.6635 0.0801 0.3271  1 Tm 3.17, 3 Pm 3.22-3.27, 2 Th 3.23
Bi 0.9984 0.2421 0.9969  2 Tm 3.18, 1 Th 3.22, 3 Pm 3.22-3.27
Bi 0.0016 0.7579 0.0031  2 Tm 3.18, 1 Th 3.22, 3 Pm 3.22-3.27
Bi 0.3331 0.4157 0.6662  3 Pm 3.23, 3 Th 3.24-3.26

Output
ΔH_f (0 K) (eV/atom): -0.795
SG: No. 12
E (eV/atom): -5.5321